DFT (PBE+U) results for an optimized crystal structure of Sm2VO5.

## Properties
Its space group is P2_1/c, No. 14. The total DFT energy (no corrections) comes out at -8.152 eV/atom. The volume is 476.6 Å³ per cell.

abc: 6.9629 7.2165 9.5435
angles: 90.00 96.33 90.00
Closest atoms and distances in Å follow each position.
Atoms (fractional coordinates):
1 Sm 0.7327 0.8823 0.0289  6 O 2.31-2.50
2 Sm 0.2327 0.6177 0.0289  6 O 2.31-2.50
3 Sm 0.4679 0.8540 0.3477  7 O 2.32-2.44
4 Sm 0.9679 0.6460 0.3477  7 O 2.32-2.44
5 Sm 0.0321 0.3540 0.6523  7 O 2.32-2.44
6 Sm 0.5321 0.1460 0.6523  7 O 2.32-2.44
7 Sm 0.7673 0.3823 0.9711  6 O 2.31-2.50
8 Sm 0.2673 0.1177 0.9711  6 O 2.31-2.50
9 V 0.4680 0.3985 0.3036  4 O 1.80-1.88
10 V 0.9680 0.1015 0.3036  4 O 1.80-1.88
11 V 0.0320 0.8985 0.6964  4 O 1.80-1.88
12 V 0.5320 0.6015 0.6964  4 O 1.80-1.88
13 O 0.9553 0.1427 0.1097  1 V 1.87
14 O 0.9159 0.6206 0.1040  4 Sm 2.31-2.39
15 O 0.4553 0.3573 0.1097  1 V 1.87
16 O 0.4159 0.8794 0.1040  4 Sm 2.31-2.39
17 O 0.7745 0.9194 0.2786  1 V 1.88
18 O 0.9878 0.3184 0.3978  1 V 1.80
19 O 0.2745 0.5806 0.2786  1 V 1.88
20 O 0.6465 0.5662 0.3688  1 V 1.80
21 O 0.4878 0.1816 0.3978  1 V 1.80
22 O 0.1465 0.9338 0.3688  1 V 1.80
23 O 0.8535 0.0662 0.6312  1 V 1.80
24 O 0.5122 0.8184 0.6022  1 V 1.80
25 O 0.3535 0.4338 0.6312  1 V 1.80
26 O 0.7255 0.4194 0.7214  1 V 1.88
27 O 0.0122 0.6816 0.6022  1 V 1.80
28 O 0.2255 0.0806 0.7214  1 V 1.88
29 O 0.5841 0.1206 0.8960  4 Sm 2.31-2.39
30 O 0.5447 0.6427 0.8903  1 V 1.87
31 O 0.0841 0.3794 0.8960  4 Sm 2.31-2.39
32 O 0.0447 0.8573 0.8903  1 V 1.87

DFT (PBE+U) results for an optimized crystal structure of SmVO3.

## Properties
Its space group is Pm-3m, No. 221. The total DFT energy (no corrections) comes out at -7.927 eV/atom. The volume is 59.5 Å³ per cell.

abc: 3.9041 3.9041 3.9041
angles: 90.00 90.00 90.00
Closest atoms and distances in Å follow each position.
Atoms (fractional coordinates):
1 Sm 0.5000 0.5000 0.5000  12 O 2.76
2 V 0.0000 0.0000 0.0000  6 O 1.95
3 O 0.5000 0.0000 0.0000  2 V 1.95
4 O 0.0000 0.5000 0.0000  2 V 1.95
5 O 0.0000 0.0000 0.5000  2 V 1.95

DFT (PBE+U) results for an optimized crystal structure of Sm2V2O7.

## Properties
Its space group is Fd-3m, No. 227. The total DFT energy (no corrections) comes out at -8.092 eV/atom. The volume is 270.0 Å³ per cell.

abc: 7.2545 7.2545 7.2545
angles: 60.00 60.00 60.00
Closest atoms and distances in Å follow each position.
Atoms (fractional coordinates):
1 Sm 0.1250 0.1250 0.1250  2 O 2.22
2 Sm 0.6250 0.1250 0.1250  2 O 2.22
3 Sm 0.1250 0.6250 0.1250  2 O 2.22
4 Sm 0.1250 0.1250 0.6250  2 O 2.22
5 V 0.6250 0.6250 0.1250  6 O 1.98
6 V 0.6250 0.6250 0.6250  6 O 1.98
7 V 0.6250 0.1250 0.6250  6 O 1.98
8 V 0.1250 0.6250 0.6250  6 O 1.98
9 O 0.7032 0.7032 0.2968  2 V 1.98
10 O 0.9532 0.5468 0.5468  2 V 1.98
11 O 0.9532 0.5468 0.9532  2 V 1.98
12 O 0.2500 0.2500 0.2500  4 Sm 2.22
13 O 0.5468 0.9532 0.5468  2 V 1.98
14 O 0.9532 0.9532 0.5468  2 V 1.98
15 O 0.7032 0.2968 0.2968  2 V 1.98
16 O 0.5468 0.9532 0.9532  2 V 1.98
17 O 0.2968 0.7032 0.2968  2 V 1.98
18 O 0.0000 0.0000 0.0000  4 Sm 2.22
19 O 0.7032 0.2968 0.7032  2 V 1.98
20 O 0.2968 0.2968 0.7032  2 V 1.98
21 O 0.2968 0.7032 0.7032  2 V 1.98
22 O 0.5468 0.5468 0.9532  2 V 1.98